# 1
Entry from the Alexandria database: a relaxed structure of KHg3Pt (PBE-GGA).

Values from the calculation:
Excess energy over the best structure of this formula in the dataset   138 meV per atom
Energy relative to the elements   -0.1307 eV per atom
Symmetry   No. 11
E_tot   -8.697 eV per formula unit

```
KHg3Pt
1.0
6.7623 0.0000 0.0000
0.0000 6.9826 0.0000
-3.3358 0.0000 5.9029
K Hg Pt
2 6 2
Cartesian
0.8143 1.7456 1.5083
2.6122 5.2369 4.3946
-0.7773 0.0003 4.4919
-0.7773 3.4910 4.4919
1.6945 5.2369 0.9798
1.7320 1.7456 4.9231
4.2037 6.9823 1.4110
4.2037 3.4916 1.4110
-0.6173 5.2369 2.3450
4.0438 1.7456 3.5579
```



# 2
Entry from the Alexandria database: a relaxed structure of LiCa2Ni12P3 (PBE-GGA).

Values from the calculation:
Energy relative to the elements   -0.1045 eV per atom
Symmetry   No. 166
E_tot   -93.403 eV per formula unit

```
LiCa2Ni12P3
1.0
4.1571 2.4001 3.9106
-4.1571 2.4001 3.9106
0.0000 -4.8002 3.9106
Li Ca Ni P
1 2 12 3
Cartesian
0.0000 0.0000 0.0000
0.0000 0.0000 4.3247
0.0000 0.0000 7.4071
-2.2640 -1.3071 5.2584
0.0000 -2.4520 4.0984
-2.1235 1.2260 4.0984
-2.1235 -1.2260 7.6334
0.0000 -2.6142 6.4734
-2.2640 1.3071 6.4734
2.2640 -1.3071 5.2584
0.0000 2.6142 5.2584
2.1235 1.2260 4.0984
2.1235 -1.2260 7.6334
0.0000 2.4520 7.6334
2.2640 1.3071 6.4734
-4.1571 0.0000 5.8659
-2.0785 1.2000 1.9553
2.0785 1.2000 1.9553
```



# 3
Entry from the Alexandria database: a relaxed structure of Ac2Ga7Sn (PBE-GGA).

Values from the calculation:
Energy relative to the elements   -0.4124 eV per atom
Symmetry   No. 115
E_tot   -37.532 eV per formula unit

```
Ac2Ga7Sn
1.0
4.5537 0.0000 0.0000
0.0000 4.5537 0.0000
0.0000 0.0000 11.2176
Ac Ga Sn
2 7 1
Cartesian
0.0000 2.2769 2.7094
2.2769 0.0000 8.5081
0.0000 0.0000 0.0000
0.0000 2.2769 7.2483
0.0000 2.2769 9.8392
2.2769 0.0000 1.3783
2.2769 0.0000 3.9692
2.2769 2.2769 0.0000
2.2769 2.2769 5.6088
0.0000 0.0000 5.6088
```



# 4
Entry from the Alexandria database: a relaxed structure of HfBi2RhN (PBE-GGA).

Values from the calculation:
Formation energy without anion corrections   0.60 eV per formula unit
Symmetry   No. 123
E_tot   -32.788 eV per formula unit

```
HfBi2RhN
1.0
4.9538 0.0000 0.0000
0.0000 4.9538 0.0000
0.0000 0.0000 4.1747
Hf Bi Rh N
1 2 1 1
Cartesian
0.0000 0.0000 0.0000
0.0000 2.4769 2.0874
2.4769 0.0000 2.0874
2.4769 2.4769 0.0000
0.0000 0.0000 2.0874
```



# 5
Entry from the Alexandria database: a relaxed structure of Rb3Pu2ZnS6 (PBE-GGA).

Values from the calculation:
Formation energy without anion corrections   -15.12 eV per formula unit
Symmetry   No. 12
E_tot   -72.723 eV per formula unit

```
Rb3Pu2ZnS6
1.0
3.4897 -6.0603 0.0000
3.4897 6.0603 0.0000
-2.3144 0.0000 7.6230
Rb Pu Zn S
3 2 1 6
Cartesian
0.0000 0.0000 0.0000
3.4897 1.9943 0.0000
3.4897 -1.9943 0.0000
2.3325 4.0380 3.8115
2.3325 -4.0380 3.8115
2.3325 0.0000 3.8115
1.1829 1.9961 2.3853
0.0562 0.0000 5.2199
1.1829 -1.9961 2.3853
3.4822 1.9961 5.2377
4.6089 0.0000 2.4031
3.4822 -1.9961 5.2377
```



# 6
Entry from the Alexandria database: a relaxed structure of Sr2MgCdH (PBE-GGA).

Values from the calculation:
Excess energy over the best structure of this formula in the dataset   65 meV per atom
Symmetry   No. 123
E_tot   -10.128 eV per formula unit

```
Sr2MgCdH
1.0
5.3900 0.0000 0.0000
0.0000 5.3900 0.0000
0.0000 0.0000 4.6304
Sr Mg Cd H
2 1 1 1
Cartesian
0.0000 2.6950 0.0000
2.6950 0.0000 0.0000
0.0000 0.0000 2.3152
2.6950 2.6950 2.3152
2.6950 2.6950 0.0000
```



# 7
Entry from the Alexandria database: a relaxed structure of Li2TaAs (PBE-GGA).

Values from the calculation:
Energy relative to the elements   -0.0277 eV per atom
Symmetry   No. 139
E_tot   -20.441 eV per formula unit

```
Li2TaAs
1.0
-1.8361 1.8361 4.9066
1.8361 -1.8361 4.9066
1.8361 1.8361 -4.9066
Li Ta As
2 1 1
Cartesian
1.8361 0.0000 2.4533
0.0000 1.8361 2.4533
0.0000 0.0000 0.0000
0.0000 0.0000 4.9066
```



# 8
Entry from the Alexandria database: a relaxed structure of TlCr2Cd (PBE-GGA).

Values from the calculation:
Energy relative to the elements   0.5080 eV per atom
Symmetry   No. 160
E_tot   -20.496 eV per formula unit

```
TlCr2Cd
1.0
1.5367 0.8872 9.2626
-1.5367 0.8872 9.2626
0.0000 -1.7744 9.2626
Tl Cr Cd
1 2 1
Cartesian
0.0000 0.0000 0.0000
0.0000 0.0000 6.8064
0.0000 0.0000 14.5343
0.0000 0.0000 21.4091
```